# 1
The following is a GGA-PBE calculation of a geometry-optimized Ac6Sb5 structure, from Alexandria via LeMat-Bulk.

DOS(E_F): 8.07 states/eV/f.u.

Structure (CIF):
```
data_Ac6Sb5
_space_group_name_H-M_alt 'C 1 2/m 1'
_space_group_IT_number 12
_cell_length_a 8.233
_cell_length_b 14.246
_cell_length_c 8.253
_cell_angle_alpha 90.00
_cell_angle_beta 109.49
_cell_angle_gamma 90.00
loop_
_space_group_symop_operation_xyz
'x,y,z'
'-x,-y,-z'
'-x,y,-z'
'x,-y,z'
'x+1/2,y+1/2,z'
'-x+1/2,-y+1/2,-z'
'-x+1/2,y+1/2,-z'
'x+1/2,-y+1/2,z'
loop_
_atom_site_label
_atom_site_fract_x
_atom_site_fract_y
_atom_site_fract_z
Ac1 0.249 0.000 0.254
Ac2 0.249 0.168 0.750
Sb1 0.000 0.000 0.500
Sb2 0.000 0.166 0.000
Sb3 0.000 0.332 0.500
```

# 2
The following is a GGA-PBE calculation of a geometry-optimized AcScSb2 structure, from Alexandria via LeMat-Bulk.

DOS(E_F): 2.80 states/eV/f.u.

Structure (CIF):
```
data_AcScSb2
_space_group_name_H-M_alt 'F m -3 m'
_space_group_IT_number 225
_space_group_name_Hall '-F 4 2 3'
_cell_length_a 7.766
_cell_length_b 7.766
_cell_length_c 7.766
_cell_angle_alpha 90.00
_cell_angle_beta 90.00
_cell_angle_gamma 90.00
loop_
_atom_site_label
_atom_site_fract_x
_atom_site_fract_y
_atom_site_fract_z
Ac1 0.000 0.000 0.000
Sc1 0.000 0.000 0.500
Sb1 0.250 0.250 0.250
```

# 3
The following is a GGA-PBE calculation of a geometry-optimized AcScSb structure, from Alexandria via LeMat-Bulk.

DOS(E_F): 3.09 states/eV/f.u.

Structure (CIF):
```
data_AcScSb
_space_group_name_H-M_alt 'I 4 m m'
_space_group_IT_number 107
_space_group_name_Hall 'I 4 -2'
_cell_length_a 3.963
_cell_length_b 3.963
_cell_length_c 11.823
_cell_angle_alpha 90.00
_cell_angle_beta 90.00
_cell_angle_gamma 90.00
loop_
_atom_site_label
_atom_site_fract_x
_atom_site_fract_y
_atom_site_fract_z
Ac1 0.000 0.000 0.000
Sc1 0.000 0.000 0.707
Sb1 0.000 0.000 0.302
```

# 4
The following is a GGA-PBE calculation of a geometry-optimized AcScSb structure, from Alexandria via LeMat-Bulk.

DOS(E_F): 3.48 states/eV/f.u.

Structure (CIF):
```
data_AcScSb
_space_group_name_H-M_alt 'I 4/m m m'
_space_group_IT_number 139
_space_group_name_Hall '-I 4 2'
_cell_length_a 4.653
_cell_length_b 4.653
_cell_length_c 17.150
_cell_angle_alpha 90.00
_cell_angle_beta 90.00
_cell_angle_gamma 90.00
loop_
_atom_site_label
_atom_site_fract_x
_atom_site_fract_y
_atom_site_fract_z
Ac1 0.000 0.000 0.173
Sc1 0.000 0.500 0.000
Sb1 0.000 0.000 0.382
```

What uncorrected formation energy values result from the calculations? In sequence: -1.0503 -0.7107 -0.5590 -0.8059 eV per atom.